No. 1
Entry from the Alexandria database: crystalline SrIn6Ni at its relaxed geometry (PBE).

a b c (Å): 4.701 4.701 9.397
angles (deg): 90.00 90.00 90.00
Atoms (fractional coordinates):
Sr: 0.000 0.000 0.000
In: 0.500 0.000 0.657
In: 0.500 0.000 0.343
In: 0.500 0.500 0.852
In: 0.000 0.500 0.343
In: 0.000 0.500 0.657
In: 0.500 0.500 0.148
Ni: 0.000 0.000 0.500

Output
DFT total energy (eV/atom): -3.17
E_form (kJ per mole of atoms): -17.48


No. 2
Entry from the Alexandria database: crystalline Ba2LaTc at its relaxed geometry (PBE).

a b c (Å): 6.493 6.493 3.698
angles (deg): 90.00 90.00 118.77
Site moments in Bohr magnetons follow the coordinates.
Atoms (fractional coordinates):
Ba: 0.000 0.000 0.000  -0.06
Ba: 0.500 0.500 0.000  -0.06
La: 0.500 0.000 0.500  -0.11
Tc: 0.000 0.500 0.500  1.84

Output
DFT total energy (eV/atom): -3.89
E_form (kJ per mole of atoms): 86.26
Energy above the lowest structure with this stoichiometry (eV per atom): 0.555